A geometry-optimized Sr3Zn7Cu4 structure, computed with PBE.

a = 4.3575 Å, b = 8.2840 Å, c = 8.5731 Å
α = 69.27°, β = 75.28°, γ = 74.75°
Fractional positions:
Cu 0.3368 0.5223 0.8041
Cu 0.6632 0.4777 0.1959
Cu 0.1186 0.0934 0.6694
Cu 0.8814 0.9066 0.3306
Zn 0.4990 0.7921 0.2099
Zn 0.5010 0.2079 0.7901
Zn 0.3232 0.8378 0.5158
Zn 0.0000 0.0000 0.0000
Zn 0.6768 0.1622 0.4842
Zn 0.1331 0.6411 0.0927
Zn 0.8669 0.3589 0.9073
Sr 0.6976 0.7998 0.8051
Sr 0.3024 0.2002 0.1949
Sr 0.0000 0.5000 0.5000

Output
SG: No. 12

A geometry-optimized Sr3Zn3Cu2 structure, computed with PBE.

a = 6.0920 Å, b = 8.3097 Å, c = 15.8432 Å
α = 90.00°, β = 90.00°, γ = 90.00°
Fractional positions:
Zn 0.8855 0.8235 0.4608
Zn 0.6145 0.3235 0.4608
Zn 0.4028 0.6639 0.2500
Zn 0.1145 0.1765 0.9608
Zn 0.1145 0.1765 0.5392
Zn 0.3855 0.6765 0.5392
Zn 0.9028 0.8361 0.7500
Zn 0.8855 0.8235 0.0392
Zn 0.3855 0.6765 0.9608
Zn 0.0972 0.1639 0.2500
Zn 0.5972 0.3361 0.7500
Zn 0.6145 0.3235 0.0392
Cu 0.3825 0.3868 0.5989
Cu 0.1175 0.8868 0.9011
Cu 0.1175 0.8868 0.5989
Cu 0.8825 0.1132 0.0989
Cu 0.3825 0.3868 0.9011
Cu 0.6175 0.6132 0.4011
Cu 0.8825 0.1132 0.4011
Cu 0.6175 0.6132 0.0989
Sr 0.1305 0.4565 0.3950
Sr 0.8695 0.5435 0.6050
Sr 0.6305 0.0435 0.8950
Sr 0.1305 0.4565 0.1050
Sr 0.8739 0.8176 0.2500
Sr 0.3739 0.6824 0.7500
Sr 0.6305 0.0435 0.6050
Sr 0.6261 0.3176 0.2500
Sr 0.1261 0.1824 0.7500
Sr 0.8695 0.5435 0.8950
Sr 0.3695 0.9565 0.1050
Sr 0.3695 0.9565 0.3950

Output
SG: No. 62

A geometry-optimized SrZn2Cu3 structure, computed with PBE.

a = 5.1542 Å, b = 6.5450 Å, c = 6.5450 Å
α = 101.20°, β = 90.00°, γ = 90.00°
Fractional positions:
Cu 0.2500 0.5413 0.9271
Cu 0.2500 0.9259 0.9259
Cu 0.2500 0.9271 0.5413
Cu 0.7500 0.0741 0.0741
Cu 0.7500 0.4587 0.0729
Cu 0.7500 0.0729 0.4587
Zn 0.5000 0.2124 0.7876
Zn 0.0000 0.2124 0.7876
Zn 0.0000 0.7876 0.2124
Zn 0.5000 0.7876 0.2124
Sr 0.7500 0.6854 0.6854
Sr 0.2500 0.3146 0.3146

Output
SG: No. 63

A geometry-optimized Sr2Zn5Cu3 structure, computed with PBE.

a = 6.1357 Å, b = 8.6795 Å, c = 8.6795 Å
α = 71.79°, β = 69.30°, γ = 69.30°
Fractional positions:
Zn 0.4746 0.2754 0.2754
Zn 0.2500 0.5000 0.5000
Zn 0.7500 0.5000 0.5000
Zn 0.6306 0.7585 0.9802
Zn 0.0254 0.7246 0.7246
Zn 0.5254 0.7246 0.7246
Zn 0.1306 0.9802 0.7585
Zn 0.3694 0.2414 0.0198
Zn 0.9746 0.2754 0.2754
Zn 0.8694 0.0198 0.2414
Sr 0.6247 0.1097 0.6409
Sr 0.1247 0.6409 0.1097
Sr 0.3753 0.8903 0.3591
Sr 0.8753 0.3591 0.8903
Cu 0.8841 0.7581 0.4737
Cu 0.1159 0.2419 0.5263
Cu 0.7500 0.0000 0.0000
Cu 0.3841 0.4737 0.7581
Cu 0.6159 0.5263 0.2419
Cu 0.2500 0.0000 0.0000

Output
SG: No. 72

Number 1: magnetic moment 0.00 μB/atom, energy of formation -0.15 eV per atom. Number 2: magnetic moment 0.00 μB/atom, energy of formation -0.16 eV per atom. Number 3: magnetic moment 0.00 μB/atom, energy of formation -0.15 eV per atom. Number 4: magnetic moment 0.00 μB/atom, energy of formation -0.16 eV per atom.